Density functional theory data (PBE-GGA) for a relaxed Dy7GeI12 crystal.

It has space group R-3 (No. 148, hexagonal axes), with a = 15.7058 Å, b = 15.7058 Å, c = 10.4072 Å, α = 90.00°, β = 90.00° and γ = 120.00°. The inequivalent atoms are Dy at (0.0000, 0.0000, 0.0000), Dy at (0.0458, 0.1622, 0.3503), Ge at (0.0000, 0.0000, 0.5000), I at (0.0220, 0.5863, 0.1646) and I at (0.0514, 0.1825, 0.8371).

The calculation puts the total energy at -4.0115 eV/atom. The value obtained for the volume is 2223 Å³ per cell. As for the uncorrected formation energy: -1.24 eV per atom.

Density functional theory data (PBE-GGA) for a relaxed KDyGe2I8 crystal.

It has space group P-1 (No. 2), with a = 7.247 Å, b = 7.744 Å, c = 9.636 Å, α = 85.27°, β = 86.47° and γ = 85.56°. The inequivalent atoms are K at (0.000, 0.000, 0.000), Dy at (0.000, 0.000, 0.500), Ge at (0.454, 0.462, 0.245), I at (0.231, 0.321, 0.474), I at (0.250, 0.830, 0.279), I at (0.256, 0.842, 0.723) and I at (0.276, 0.363, 0.027).

The calculation puts the total energy at -3.0837 eV/atom. The value obtained for the volume is 537 Å³ per cell. As for the uncorrected formation energy: -0.81 eV per atom.

Density functional theory data (PBE-GGA) for a relaxed RbDyGe2I8 crystal.

It has space group P-1 (No. 2), with a = 7.375 Å, b = 8.277 Å, c = 9.838 Å, α = 78.55°, β = 89.44° and γ = 75.56°. The inequivalent atoms are Rb at (0.000, 0.000, 0.000), Dy at (0.000, 0.000, 0.500), Ge at (0.428, 0.404, 0.221), I at (0.107, 0.326, 0.364), I at (0.256, 0.792, 0.326), I at (0.297, 0.386, 0.968) and I at (0.325, 0.931, 0.720).

The calculation puts the total energy at -3.0784 eV/atom. The value obtained for the volume is 569 Å³ per cell. As for the uncorrected formation energy: -0.81 eV per atom.

Density functional theory data (PBE-GGA) for a relaxed DyTlGeI6 crystal.

It has space group P312 (No. 149), with a = 7.8050 Å, b = 7.8050 Å, c = 7.7037 Å, α = 90.00°, β = 90.00° and γ = 120.00°. The inequivalent atoms are Dy at (0.0000, 0.0000, 0.0000), Tl at (0.3333, 0.6667, 0.5000), Ge at (0.6667, 0.3333, 0.0000) and I at (0.3346, 0.0326, 0.2260).

The calculation puts the total energy at -3.1908 eV/atom. The value obtained for the volume is 406 Å³ per cell. As for the uncorrected formation energy: -0.87 eV per atom.

Density functional theory data (PBE-GGA) for a relaxed Dy3InGe3 crystal.

It has space group P6_3/m (No. 176), with a = 8.6819 Å, b = 8.6819 Å, c = 5.8675 Å, α = 90.00°, β = 90.00° and γ = 120.00°. The inequivalent atoms are Dy at (0.0515, 0.6908, 0.2500), In at (0.3333, 0.6667, 0.7500) and Ge at (0.0415, 0.6931, 0.7500).

The calculation puts the total energy at -4.8862 eV/atom. For the formation energy, the calculation gives -0.54 eV per atom. The value obtained for the volume is 383 Å³ per cell.

Density functional theory data (PBE-GGA) for a relaxed Dy6InGe2 crystal.

It has space group Immm (No. 71), with a = 9.629 Å, b = 9.640 Å, c = 10.418 Å, α = 90.00°, β = 90.00° and γ = 90.00°. The inequivalent atoms are Dy at (0.000, 0.204, 0.177), Dy at (0.182, 0.223, 0.500), Dy at (0.201, 0.500, 0.253), In at (0.000, 0.500, 0.000), In at (0.000, 0.500, 0.500), Ge at (0.000, 0.000, 0.378) and Ge at (0.150, 0.000, 0.000).

The calculation puts the total energy at -4.9600 eV/atom. For the formation energy, the calculation gives -0.56 eV per atom. The value obtained for the volume is 967 Å³ per cell.